Entry from the Alexandria database: a relaxed MgAsOs crystal (PBE). Values from VASP.

Values from the calculation:
Formation energy ... 241 meV/atom
Symmetry ... F-43m (216)
Volume ... 54.4 Å³/cell
Total magnetization ... 0.000 Bohr magnetons per cell

```
&SYSTEM
  ibrav = 0, nat = 3, ntyp = 3
/
ATOMIC_SPECIES
As 74.92 As.upf
Mg 24.30 Mg.upf
Os 190.23 Os.upf
CELL_PARAMETERS angstrom
-1.878 0.123 -3.815
-3.781 -1.864 -0.571
-3.478 2.379 -0.583
ATOMIC_POSITIONS crystal
As 0.000 0.000 0.000
Mg 0.500 0.500 0.500
Os 0.750 0.750 0.750
```